Entry from Alexandria via LeMat-Bulk: PrSm2FeN4 after structural relaxation (PBE-GGA).

Unit cell a=6.115 b=6.115 c=11.875 alpha=90.00 beta=90.00 gamma=146.99
Positions (direct):
Pr  0.119  0.881  0.750
Pr  0.881  0.119  0.250
Sm  0.368  0.632  0.544
Sm  0.368  0.632  0.956
Sm  0.632  0.368  0.044
Sm  0.632  0.368  0.456
Fe  0.159  0.841  0.250
Fe  0.841  0.159  0.750
N  0.000  0.000  0.000
N  0.000  0.000  0.500
N  0.269  0.731  0.133
N  0.269  0.731  0.367
N  0.403  0.597  0.750
N  0.597  0.403  0.250
N  0.731  0.269  0.633
N  0.731  0.269  0.867

energy: -7.977 eV/atom
formation energy (no corrections): -979 meV/atom
density of states at the Fermi level: 2.93 states/eV/f.u.



Entry from Alexandria via LeMat-Bulk: EuY2Mg after structural relaxation (PBE-GGA).

Unit cell a=3.765 b=3.765 c=9.029 alpha=90.00 beta=90.00 gamma=90.00
Positions (direct):
Eu  0.000  0.000  0.000
Y  0.500  0.500  0.294
Y  0.500  0.500  0.706
Mg  0.000  0.000  0.500

E_form: 0.01 eV per atom
energy: -6.192 eV/atom
ΔE to the lowest computed polymorph: 0.0 meV per atom
density of states at the Fermi level: 4.46 states/eV/f.u.



Entry from Alexandria via LeMat-Bulk: PmSi3Ni3 after structural relaxation (PBE-GGA).

Unit cell a=7.605 b=7.605 c=7.605 alpha=48.48 beta=48.48 gamma=48.48
Positions (direct):
Pm  0.163  0.163  0.163
Pm  0.837  0.837  0.837
Si  0.042  0.606  0.218
Si  0.218  0.042  0.606
Si  0.394  0.782  0.958
Si  0.606  0.218  0.042
Si  0.782  0.958  0.394
Si  0.958  0.394  0.782
Ni  0.172  0.645  0.395
Ni  0.355  0.605  0.828
Ni  0.395  0.172  0.645
Ni  0.605  0.828  0.355
Ni  0.645  0.395  0.172
Ni  0.828  0.355  0.605

energy: -5.817 eV/atom
ΔE to the lowest computed polymorph: 11.9 meV per atom
formation energy (no corrections): -337 meV/atom
density of states at the Fermi level: 4.51 states/eV/f.u.



Entry from Alexandria via LeMat-Bulk: PrSm5Er12 after structural relaxation (PBE-GGA).

Unit cell a=10.308 b=10.308 c=5.912 alpha=90.02 beta=90.02 gamma=113.61
Positions (direct):
Pr  0.000  0.000  0.000
Sm  0.168  0.832  0.500
Sm  0.332  0.668  0.000
Sm  0.500  0.500  0.500
Sm  0.668  0.332  0.000
Sm  0.832  0.168  0.500
Er  0.012  0.345  0.947
Er  0.156  0.490  0.447
Er  0.177  0.177  0.548
Er  0.326  0.326  0.048
Er  0.345  0.012  0.947
Er  0.490  0.156  0.447
Er  0.510  0.844  0.553
Er  0.655  0.988  0.053
Er  0.674  0.674  0.952
Er  0.823  0.823  0.452
Er  0.844  0.510  0.553
Er  0.988  0.655  0.053

E_form: 0.11 eV per atom
energy: -4.513 eV/atom
density of states at the Fermi level: 31.94 states/eV/f.u.



Entry from Alexandria via LeMat-Bulk: Nd6Zn5Ir after structural relaxation (PBE-GGA).

Unit cell a=8.964 b=8.964 c=8.964 alpha=146.45 beta=131.65 gamma=60.13
Positions (direct):
Nd  0.082  0.340  0.742
Nd  0.238  0.000  0.238
Nd  0.402  0.660  0.742
Nd  0.598  0.340  0.258
Nd  0.762  0.000  0.762
Nd  0.918  0.660  0.258
Zn  0.180  0.180  0.000
Zn  0.331  0.831  0.500
Zn  0.500  0.500  0.000
Zn  0.669  0.169  0.500
Zn  0.820  0.820  0.000
Ir  0.000  0.500  0.500

E_form: -0.38 eV per atom
energy: -4.031 eV/atom
density of states at the Fermi level: 9.77 states/eV/f.u.



Entry from Alexandria via LeMat-Bulk: AlZn2Tc after structural relaxation (PBE-GGA).

Unit cell a=5.349 b=5.349 c=2.712 alpha=103.90 beta=103.90 gamma=120.06
Positions (direct):
Al  0.000  0.000  0.000
Zn  0.000  0.500  0.500
Zn  0.500  0.000  0.500
Tc  0.500  0.500  0.000

E_form: -0.04 eV per atom
energy: -4.207 eV/atom
density of states at the Fermi level: 2.40 states/eV/f.u.



Entry from Alexandria via LeMat-Bulk: BaCdSe3 after structural relaxation (PBE-GGA).

Unit cell a=6.324 b=6.324 c=6.324 alpha=90.00 beta=90.00 gamma=90.00
Positions (direct):
Ba  0.000  0.000  0.000
Cd  0.500  0.500  0.500
Se  0.000  0.000  0.500
Se  0.000  0.500  0.000
Se  0.500  0.000  0.000

energy: -2.467 eV/atom
ΔE to the lowest computed polymorph: 889.9 meV per atom
formation energy (no corrections): 192 meV/atom
density of states at the Fermi level: 3.33 states/eV/f.u.



Entry from Alexandria via LeMat-Bulk: ZnPt2Cl after structural relaxation (PBE-GGA).

Unit cell a=10.114 b=10.114 c=10.114 alpha=15.97 beta=15.97 gamma=15.97
Positions (direct):
Zn  0.000  0.000  0.000
Pt  0.265  0.265  0.265
Pt  0.735  0.735  0.735
Cl  0.500  0.500  0.500

energy: -3.819 eV/atom
ΔE to the lowest computed polymorph: 65.7 meV per atom
formation energy (no corrections): -19 meV/atom
density of states at the Fermi level: 3.45 states/eV/f.u.



Entry from Alexandria via LeMat-Bulk: LaSm2UN4 after structural relaxation (PBE-GGA).

Unit cell a=6.212 b=6.212 c=6.212 alpha=131.93 beta=131.93 gamma=70.33
Positions (direct):
La  0.000  0.000  0.000
Sm  0.500  0.500  0.000
Sm  0.750  0.250  0.500
U  0.250  0.750  0.500
N  0.033  0.533  0.500
N  0.254  0.254  0.000
N  0.467  0.967  0.500
N  0.746  0.746  0.000

energy: -8.777 eV/atom
formation energy (no corrections): -1408 meV/atom
density of states at the Fermi level: 5.76 states/eV/f.u.



Entry from Alexandria via LeMat-Bulk: CePrCd4 after structural relaxation (PBE-GGA).

Unit cell a=6.123 b=6.123 c=5.132 alpha=114.65 beta=114.65 gamma=92.85
Positions (direct):
Ce  0.000  0.000  0.000
Pr  0.500  0.500  0.500
Cd  0.079  0.412  0.746
Cd  0.412  0.079  0.746
Cd  0.588  0.921  0.254
Cd  0.921  0.588  0.254

E_form: -0.30 eV per atom
energy: -2.694 eV/atom
ΔE to the lowest computed polymorph: 0.0 meV per atom
density of states at the Fermi level: 8.11 states/eV/f.u.